Here is an optimized crystal structure of NdSm12Tm7 from Alexandria. Energies are from GGA-PBE.

abc: 8.7924 8.7924 8.7924
angles: 98.14 98.14 98.14
With the nearest neighbours (Å) after each atom.
Atoms (fractional coordinates):
Tm 0.3396 0.9000 0.9001  3 Tm 3.23-3.58, 1 Nd 3.42, 4 Sm 3.50-3.54
Tm 0.9000 0.9001 0.3396  3 Tm 3.23-3.58, 1 Nd 3.42, 4 Sm 3.50-3.54
Tm 0.0999 0.6604 0.1000  3 Tm 3.23-3.58, 1 Nd 3.42, 4 Sm 3.50-3.54
Tm 0.9001 0.3396 0.9000  3 Tm 3.23-3.58, 1 Nd 3.42, 4 Sm 3.50-3.54
Tm 0.6604 0.1000 0.0999  3 Tm 3.23-3.58, 1 Nd 3.42, 4 Sm 3.50-3.54
Tm 0.1000 0.0999 0.6604  3 Tm 3.23-3.58, 1 Nd 3.42, 4 Sm 3.50-3.54
Tm 0.5000 0.5000 0.5000  12 Sm 3.49-3.61
Sm 0.6409 0.9087 0.6410  6 Sm 3.40-3.58, 3 Tm 3.61-3.73
Sm 0.3591 0.0913 0.3590  6 Sm 3.40-3.58, 3 Tm 3.61-3.73
Sm 0.7629 0.5000 0.2371  6 Sm 3.40-3.58, 5 Tm 3.49-3.54
Sm 0.5000 0.7629 0.2371  6 Sm 3.40-3.58, 5 Tm 3.49-3.54
Sm 0.3590 0.3591 0.0913  6 Sm 3.40-3.58, 3 Tm 3.61-3.73
Sm 0.9087 0.6410 0.6409  6 Sm 3.40-3.58, 3 Tm 3.61-3.73
Sm 0.7629 0.2371 0.5000  6 Sm 3.40-3.58, 5 Tm 3.49-3.54
Sm 0.0913 0.3590 0.3591  6 Sm 3.40-3.58, 3 Tm 3.61-3.73
Sm 0.6410 0.6409 0.9087  6 Sm 3.40-3.58, 3 Tm 3.61-3.73
Sm 0.2371 0.7629 0.5000  6 Sm 3.40-3.58, 5 Tm 3.49-3.54
Sm 0.5000 0.2371 0.7629  6 Sm 3.40-3.58, 5 Tm 3.49-3.54
Sm 0.2371 0.5000 0.7629  6 Sm 3.40-3.58, 5 Tm 3.49-3.54
Nd 0.0000 0.0000 0.0000  6 Tm 3.42

formation enthalpy at 0 K	0.102	eV/atom
total DFT energy (no corrections)	-4.533	eV/atom
symmetry	R-3m (166)
excess energy over the best structure of this formula in the dataset	0	meV/atom
size of the total moment	3.20	μB per cell